Record 1
## In12GaPb16 (PBE-GGA)

Data for a relaxed In12GaPb16 crystal.

Unit cell a=11.934 b=17.394 c=10.069 alpha=90.00 beta=124.76 gamma=90.00
Space group Cm (No. 8)
Symmetry-distinct sites (fractional):
In (0.000, 0.000, 0.000)
In (0.026, 0.409, 0.201)
In (0.090, 0.090, 0.592)
In (0.118, 0.315, 0.007)
In (0.170, 0.000, 0.379)
In (0.208, 0.408, 0.824)
In (0.309, 0.316, 0.387)
Ga (0.225, 0.000, 0.940)
Pb (0.099, 0.292, 0.509)
Pb (0.254, 0.140, 0.190)
Pb (0.296, 0.206, 0.894)
Pb (0.298, 0.500, 0.187)
Pb (0.309, 0.500, 0.535)
Pb (0.364, 0.154, 0.597)
Pb (0.450, 0.000, 0.862)
Pb (0.459, 0.343, 0.791)
Pb (0.475, 0.340, 0.206)
Pb (0.489, 0.000, 0.475)

Computed properties:
- total DFT energy (no corrections) (Ha/atom) = -0.119
- formation energy from the elements (eV per atom) = 0.04
- DOS(E_F) (states/eV per cell) = 31.72


Record 2
## InGaPb3 (PBE-GGA)

Data for a relaxed InGaPb3 crystal.

Unit cell a=5.556 b=5.556 c=5.556 alpha=90.00 beta=90.00 gamma=90.00
Space group Pm-3m (No. 221)
Symmetry-distinct sites (fractional):
In (0.000, 0.000, 0.000)
Ga (0.500, 0.500, 0.500)
Pb (0.000, 0.500, 0.500)

Computed properties:
- total DFT energy (no corrections) (Ha/atom) = -0.112
- formation energy from the elements (eV per atom) = 0.34
- energy above the lowest structure with this stoichiometry (kcal/mol of atoms) = 6.660
- DOS(E_F) (states/eV per cell) = 3.32


Record 3
## In12Ga2Pb (PBE-GGA)

Data for a relaxed In12Ga2Pb crystal.

Unit cell a=12.029 b=6.563 c=10.504 alpha=90.00 beta=99.64 gamma=90.00
Space group P2/c (No. 13)
Symmetry-distinct sites (fractional):
In (0.084, 0.118, 0.388)
In (0.114, 0.299, 0.695)
In (0.121, 0.357, 0.002)
In (0.298, 0.410, 0.355)
In (0.362, 0.113, 0.945)
In (0.395, 0.324, 0.638)
Ga (0.239, 0.060, 0.177)
Pb (0.500, 0.160, 0.250)

Computed properties:
- total DFT energy (no corrections) (Ha/atom) = -0.103
- formation energy from the elements (eV per atom) = 0.05
- DOS(E_F) (states/eV per cell) = 12.08


Record 4
## InGa2Pb2 (PBE-GGA)

Data for a relaxed InGa2Pb2 crystal.

Unit cell a=9.063 b=9.063 c=3.305 alpha=90.00 beta=90.00 gamma=90.00
Space group P4/mbm (No. 127)
Symmetry-distinct sites (fractional):
In (0.000, 0.000, 0.000)
Ga (0.150, 0.350, 0.500)
Pb (0.147, 0.647, 0.000)

Computed properties:
- total DFT energy (no corrections) (Ha/atom) = -0.115
- formation energy from the elements (eV per atom) = 0.12
- energy above the lowest structure with this stoichiometry (kcal/mol of atoms) = 1.307
- DOS(E_F) (states/eV per cell) = 5.11


Record 5
## In5GaPb8 (PBE-GGA)

Data for a relaxed In5GaPb8 crystal.

Unit cell a=9.451 b=9.451 c=9.587 alpha=90.00 beta=90.00 gamma=90.00
Space group I-4 (No. 82)
Symmetry-distinct sites (fractional):
In (0.000, 0.000, 0.000)
In (0.110, 0.309, 0.328)
Ga (0.000, 0.500, 0.750)
Pb (0.067, 0.165, 0.656)
Pb (0.110, 0.318, 0.983)

Computed properties:
- total DFT energy (no corrections) (Ha/atom) = -0.119
- formation energy from the elements (eV per atom) = 0.08
- DOS(E_F) (states/eV per cell) = 17.40


Record 6
## In5Ga4Pb2 (PBE-GGA)

Data for a relaxed In5Ga4Pb2 crystal.

Unit cell a=11.174 b=6.235 c=8.967 alpha=90.00 beta=115.25 gamma=90.00
Space group C2/m (No. 12)
Symmetry-distinct sites (fractional):
In (0.000, 0.000, 0.000)
In (0.155, 0.256, 0.658)
Ga (0.102, 0.000, 0.355)
Ga (0.249, 0.500, 0.020)
Pb (0.055, 0.500, 0.207)

Computed properties:
- total DFT energy (no corrections) (Ha/atom) = -0.108
- formation energy from the elements (eV per atom) = 0.07
- energy above the lowest structure with this stoichiometry (kcal/mol of atoms) = 0.324
- DOS(E_F) (states/eV per cell) = 9.54


Record 7
## In2GaPb2 (PBE-GGA)

Data for a relaxed In2GaPb2 crystal.

Unit cell a=4.710 b=4.710 c=14.378 alpha=90.00 beta=90.00 gamma=90.00
Space group I4/mmm (No. 139)
Symmetry-distinct sites (fractional):
In (0.000, 0.000, 0.099)
Ga (0.000, 0.000, 0.500)
Pb (0.000, 0.500, 0.250)

Computed properties:
- total DFT energy (no corrections) (Ha/atom) = -0.109
- formation energy from the elements (eV per atom) = 0.22
- energy above the lowest structure with this stoichiometry (kcal/mol of atoms) = 4.156
- DOS(E_F) (states/eV per cell) = 4.87


Record 8
## In2GaPb8 (PBE-GGA)

Data for a relaxed In2GaPb8 crystal.

Unit cell a=14.112 b=8.753 c=5.918 alpha=90.00 beta=104.56 gamma=90.00
Space group C2/m (No. 12)
Symmetry-distinct sites (fractional):
In (0.116, 0.000, 0.477)
Ga (0.000, 0.000, 0.000)
Pb (0.069, 0.292, 0.793)
Pb (0.140, 0.500, 0.359)
Pb (0.227, 0.000, 0.042)

Computed properties:
- total DFT energy (no corrections) (Ha/atom) = -0.124
- formation energy from the elements (eV per atom) = 0.10
- energy above the lowest structure with this stoichiometry (kcal/mol of atoms) = 1.633
- DOS(E_F) (states/eV per cell) = 7.94


Record 9
## InGa2Pb8 (PBE-GGA)

Data for a relaxed InGa2Pb8 crystal.

Unit cell a=18.065 b=4.747 c=7.802 alpha=90.00 beta=105.19 gamma=90.00
Space group C2/m (No. 12)
Symmetry-distinct sites (fractional):
In (0.000, 0.000, 0.000)
Ga (0.231, 0.500, 0.628)
Pb (0.044, 0.500, 0.731)
Pb (0.100, 0.000, 0.464)
Pb (0.144, 0.500, 0.194)
Pb (0.183, 0.000, 0.906)

Computed properties:
- total DFT energy (no corrections) (Ha/atom) = -0.127
- formation energy from the elements (eV per atom) = 0.04
- DOS(E_F) (states/eV per cell) = 11.46


Record 10
## InGa2Pb2 (PBE-GGA)

Data for a relaxed InGa2Pb2 crystal.

Unit cell a=3.800 b=3.800 c=18.618 alpha=90.00 beta=90.00 gamma=90.00
Space group I4/mmm (No. 139)
Symmetry-distinct sites (fractional):
In (0.000, 0.000, 0.000)
Ga (0.000, 0.500, 0.250)
Pb (0.000, 0.000, 0.387)

Computed properties:
- total DFT energy (no corrections) (Ha/atom) = -0.116
- formation energy from the elements (eV per atom) = 0.08
- energy above the lowest structure with this stoichiometry (kcal/mol of atoms) = 0.363
- DOS(E_F) (states/eV per cell) = 5.63


Record 11
## In8GaPb6 (PBE-GGA)

Data for a relaxed In8GaPb6 crystal.

Unit cell a=8.5719 b=8.5719 c=20.5246 alpha=90.00 beta=90.00 gamma=120.00
Space group R-3 (No. 148, hexagonal axes)
Symmetry-distinct sites (fractional):
In (0.0000, 0.0000, 0.0769)
In (0.0624, 0.8129, 0.6363)
Ga (0.0000, 0.0000, 0.5000)
Pb (0.0349, 0.2571, 0.2060)

Computed properties:
- total DFT energy (no corrections) (Ha/atom) = -0.114
- formation energy from the elements (eV per atom) = 0.04
- DOS(E_F) (states/eV per cell) = 19.69


Record 12
## In5GaPb (PBE-GGA)

Data for a relaxed In5GaPb crystal.

Unit cell a=4.710 b=4.710 c=8.712 alpha=90.00 beta=90.00 gamma=90.00
Space group P4/mmm (No. 123)
Symmetry-distinct sites (fractional):
In (0.000, 0.000, 0.000)
In (0.000, 0.500, 0.291)
Ga (0.500, 0.500, 0.500)
Pb (0.500, 0.500, 0.000)

Computed properties:
- total DFT energy (no corrections) (Ha/atom) = -0.105
- formation energy from the elements (eV per atom) = 0.06
- DOS(E_F) (states/eV per cell) = 3.66